1.
Crystalline CaZnPt at its relaxed geometry. Source: Alexandria via LeMat-Bulk, functional GGA-PBE.

Output
The calculation puts the density of states at the Fermi level at 1.2 states/eV/f.u. As for the volume: 22.99 Å³/atom. Its formation energy is -588 meV/atom.

CIF file:
```
data_CaZnPt
_chemical_formula_sum 'Ca4 Zn4 Pt4'
_space_group_name_H-M_alt 'F -4 3 m'
_space_group_IT_number 216
_space_group_name_Hall 'F -4 2 3'
_cell_length_a 6.5099
_cell_length_b 6.5099
_cell_length_c 6.5099
_cell_angle_alpha 90.00
_cell_angle_beta 90.00
_cell_angle_gamma 90.00
loop_
_atom_site_label
_atom_site_type_symbol
_atom_site_fract_x
_atom_site_fract_y
_atom_site_fract_z
_atom_site_occupancy
Ca1 Ca 0.0000 0.0000 0.0000 1
Zn1 Zn 0.0000 0.0000 0.5000 1
Pt1 Pt 0.2500 0.2500 0.2500 1
```

=====

2.
Crystalline CaZn2Pt at its relaxed geometry. Source: Alexandria via LeMat-Bulk, functional GGA-PBE.

Output
The calculation puts the density of states at the Fermi level at 1.7 states/eV/f.u. As for the volume: 20.88 Å³/atom. Its formation energy is -428 meV/atom.

CIF file:
```
data_CaZn2Pt
_chemical_formula_sum 'Ca1 Zn2 Pt1'
_space_group_name_H-M_alt 'P 1 2/m 1'
_space_group_IT_number 10
_space_group_name_Hall '-P 2y'
_cell_length_a 3.6463
_cell_length_b 4.5995
_cell_length_c 4.9795
_cell_angle_alpha 90.00
_cell_angle_beta 90.15
_cell_angle_gamma 90.00
loop_
_atom_site_label
_atom_site_type_symbol
_atom_site_fract_x
_atom_site_fract_y
_atom_site_fract_z
_atom_site_occupancy
Ca1 Ca 0.0000 0.0000 0.0000 1
Zn1 Zn 0.5004 0.5000 0.2540 1
Pt1 Pt 0.5000 0.0000 0.5000 1
```

=====

3.
Crystalline CaZn2Pt at its relaxed geometry. Source: Alexandria via LeMat-Bulk, functional GGA-PBE.

Output
The calculation puts the density of states at the Fermi level at 1.6 states/eV/f.u. As for the volume: 20.24 Å³/atom. Its formation energy is -569 meV/atom.

CIF file:
```
data_CaZn2Pt
_chemical_formula_sum 'Ca2 Zn4 Pt2'
_space_group_name_H-M_alt 'P 4/n m m'
_space_group_IT_number 129
_cell_length_a 4.0106
_cell_length_b 4.0106
_cell_length_c 10.0653
_cell_angle_alpha 90.00
_cell_angle_beta 90.00
_cell_angle_gamma 90.00
loop_
_space_group_symop_operation_xyz
'x,y,z'
'-x,-y,-z'
'-y+1/2,x,z'
'y+1/2,-x,-z'
'-x+1/2,-y+1/2,z'
'x+1/2,y+1/2,-z'
'y,-x+1/2,z'
'-y,x+1/2,-z'
'x+1/2,-y,-z'
'-x+1/2,y,z'
'-y,-x,-z'
'y,x,z'
'-x,y+1/2,-z'
'x,-y+1/2,z'
'y+1/2,x+1/2,-z'
'-y+1/2,-x+1/2,z'
loop_
_atom_site_label
_atom_site_type_symbol
_atom_site_fract_x
_atom_site_fract_y
_atom_site_fract_z
_atom_site_occupancy
Ca1 Ca 0.2500 0.2500 0.2357 1
Zn1 Zn 0.2500 0.2500 0.9269 1
Zn2 Zn 0.2500 0.7500 0.5000 1
Pt1 Pt 0.2500 0.2500 0.6696 1
```

=====

4.
Crystalline Ca2Zn2Pt at its relaxed geometry. Source: Alexandria via LeMat-Bulk, functional GGA-PBE.

Output
The calculation puts the density of states at the Fermi level at 1.9 states/eV/f.u. As for the volume: 22.04 Å³/atom. Its formation energy is -563 meV/atom.

CIF file:
```
data_Ca2Zn2Pt
_chemical_formula_sum 'Ca8 Zn8 Pt4'
_space_group_name_H-M_alt 'C 1 2/c 1'
_space_group_IT_number 15
_space_group_name_Hall '-C 2yc'
_cell_length_a 9.9932
_cell_length_b 5.9165
_cell_length_c 7.7149
_cell_angle_alpha 90.00
_cell_angle_beta 104.95
_cell_angle_gamma 90.00
loop_
_atom_site_label
_atom_site_type_symbol
_atom_site_fract_x
_atom_site_fract_y
_atom_site_fract_z
_atom_site_occupancy
Ca1 Ca 0.1533 0.1090 0.1470 1
Zn1 Zn 0.1194 0.3826 0.4914 1
Pt1 Pt 0.0000 0.3196 0.7500 1
```

=====

5.
Crystalline Ca3Zn4Pt4 at its relaxed geometry. Source: Alexandria via LeMat-Bulk, functional GGA-PBE.

Output
The calculation puts the density of states at the Fermi level at 6.3 states/eV/f.u. As for the volume: 20.99 Å³/atom. Its formation energy is -632 meV/atom.

CIF file:
```
data_Ca3Zn4Pt4
_chemical_formula_sum 'Ca6 Zn8 Pt8'
_space_group_name_H-M_alt 'I -4 3 m'
_space_group_IT_number 217
_space_group_name_Hall 'I -4 2 3'
_cell_length_a 7.7290
_cell_length_b 7.7290
_cell_length_c 7.7290
_cell_angle_alpha 90.00
_cell_angle_beta 90.00
_cell_angle_gamma 90.00
loop_
_atom_site_label
_atom_site_type_symbol
_atom_site_fract_x
_atom_site_fract_y
_atom_site_fract_z
_atom_site_occupancy
Ca1 Ca 0.0000 0.0000 0.5000 1
Zn1 Zn 0.1244 0.1244 0.8756 1
Pt1 Pt 0.1935 0.1935 0.1935 1
```

=====

6.
Crystalline CaZnPt at its relaxed geometry. Source: Alexandria via LeMat-Bulk, functional GGA-PBE.

Output
The calculation puts the density of states at the Fermi level at 1.4 states/eV/f.u. As for the volume: 19.03 Å³/atom. Its formation energy is -743 meV/atom.

CIF file:
```
data_CaZnPt
_chemical_formula_sum 'Ca4 Zn4 Pt4'
_space_group_name_H-M_alt 'C 1 2/m 1'
_space_group_IT_number 12
_space_group_name_Hall '-C 2y'
_cell_length_a 9.3996
_cell_length_b 5.3509
_cell_length_c 5.6980
_cell_angle_alpha 90.00
_cell_angle_beta 127.16
_cell_angle_gamma 90.00
loop_
_atom_site_label
_atom_site_type_symbol
_atom_site_fract_x
_atom_site_fract_y
_atom_site_fract_z
_atom_site_occupancy
Ca1 Ca 0.1300 0.0000 0.3801 1
Zn1 Zn 0.2500 0.2500 0.0000 1
Pt1 Pt 0.0000 0.5000 0.0000 1
Pt2 Pt 0.0000 0.5000 0.5000 1
```